VASP calculation (GGA-PBE) on a geometry-optimized Fe2SN structure.

ΔE_f (raw) = -0.2117 eV per atom
Energy above the lowest structure with this stoichiometry = 0 meV per atom
Final energy = -7.56 eV/atom
Total magnetic moment = 0.00 μB per formula unit
Space-group type = I-42d (122)

Cell: 5.6375 5.6375 5.6375 Å, 132.63 132.63 69.23°
Closest atoms and distances in Å follow each position.
Element x y z (fractional)
Fe: 0.0610 0.6250 0.9360  2 N 1.83
Fe: 0.3750 0.3110 0.4360  2 N 1.83
Fe: 0.6890 0.1250 0.0640  2 N 1.83
Fe: 0.8750 0.9390 0.5640  2 N 1.83
S: 0.2500 0.7500 0.5000  4 Fe 2.16
S: 0.5000 0.5000 0.0000  4 Fe 2.16
N: 0.0000 0.0000 0.0000  4 Fe 1.83
N: 0.7500 0.2500 0.5000  4 Fe 1.83